Record 1
CaTl2Re | PBE | optimized geometry

Summary:
- magnetic moment (Bohr magnetons per cell) = 1.1
- calculated density (g cm⁻³) = 11.61
- DFT formation energy (kJ per mole of atoms) = 63.21

Cell: 5.744 5.744 5.744 Å, 135.80 135.80 64.28°
Sites, in units of the cell vectors:
1 Ca 0.000 0.000 0.000
2 Tl 0.500 0.500 0.000
3 Tl 0.750 0.250 0.500
4 Re 0.250 0.750 0.500


Record 2
PmTl5Te5 | PBE | optimized geometry

Summary:
- magnetic moment (Bohr magnetons per cell) = 0.0
- calculated density (g cm⁻³) = 6.81
- calculated total energy (eV/cell) = -37.512

Cell: 8.275 8.275 9.672 Å, 107.32 107.32 44.61°
Sites, in units of the cell vectors:
1 Pm 0.000 0.000 0.000
2 Tl 0.000 0.000 0.500
3 Tl 0.317 0.317 0.144
4 Tl 0.321 0.321 0.686
5 Tl 0.679 0.679 0.314
6 Tl 0.683 0.683 0.856
7 Te 0.154 0.154 0.838
8 Te 0.158 0.158 0.316
9 Te 0.500 0.500 0.000
10 Te 0.842 0.842 0.684
11 Te 0.846 0.846 0.162


Record 3
Ce4Th3Sn2 | PBE | optimized geometry

Summary:
- magnetic moment (Bohr magnetons per cell) = 2.6
- calculated density (g cm⁻³) = 9.63
- DFT formation energy (kJ per mole of atoms) = -24.47

Cell: 6.038 6.038 10.382 Å, 108.46 108.46 46.50°
Sites, in units of the cell vectors:
1 Ce 0.005 0.005 0.175
2 Ce 0.331 0.331 0.611
3 Ce 0.669 0.669 0.389
4 Ce 0.995 0.995 0.825
5 Th 0.000 0.000 0.500
6 Th 0.329 0.329 0.944
7 Th 0.671 0.671 0.056
8 Sn 0.336 0.336 0.281
9 Sn 0.664 0.664 0.719